No. 1
The following is a DFT calculation (PBE-GGA) of AcSmTm4S8 after structural relaxation.

abc: 8.083 8.083 8.159
angles: 60.31 60.31 60.00
Fractional coordinates of all 14 atoms:
Ac 0.374 0.374 0.879
Tm 0.998 0.507 0.497
Tm 0.626 0.626 0.122
Tm 0.998 0.998 0.497
Tm 0.507 0.998 0.497
Sm 0.998 0.998 0.007
S 0.749 0.749 0.267
S 0.749 0.235 0.267
S 0.240 0.796 0.724
S 0.233 0.233 0.300
S 0.235 0.749 0.267
S 0.240 0.240 0.724
S 0.757 0.757 0.728
S 0.796 0.240 0.724

Computed properties:
The value obtained for the density of states at the Fermi level is 0.59 states/eV/atom. For the total energy, the calculation gives -86.5 eV/cell. The value obtained for the volume is 27.0 Å³/atom. Its space-group type is R3m. The uncorrected formation energy comes out at -1910 meV/atom.

No. 2
The following is a DFT calculation (PBE-GGA) of Ac2GeRh after structural relaxation.

abc: 4.400 6.275 8.921
angles: 111.93 90.00 90.00
Fractional coordinates of all 8 atoms:
Ge 0.750 0.648 0.791
Ge 0.250 0.352 0.209
Ac 0.750 0.224 0.914
Ac 0.250 0.774 0.556
Ac 0.750 0.226 0.444
Ac 0.250 0.776 0.086
Rh 0.250 0.359 0.713
Rh 0.750 0.641 0.287

Computed properties:
As for the energy of formation from the pure elements: -0.682 eV/atom. The value obtained for the density of states at the Fermi level is 0.99 states/eV/atom. For the total energy, the calculation gives -45.8 eV/cell. The value obtained for the volume is 28.6 Å³/atom. Its space-group type is P2_1/m.

No. 3
The following is a DFT calculation (PBE-GGA) of Er8VBi2 after structural relaxation.

abc: 5.503 7.142 9.079
angles: 113.16 107.64 90.00
Each line ends with the local moment (μB).
Fractional coordinates of all 11 atoms:
Er 0.376 0.145 0.752  -0.01
Er 0.000 0.759 0.000  -0.04
Er 0.000 0.241 0.000  -0.04
Er 0.815 0.814 0.630  -0.15
Er 0.624 0.393 0.247  -0.01
Er 0.185 0.186 0.370  -0.15
Er 0.624 0.855 0.248  -0.01
Er 0.376 0.607 0.753  -0.01
V 0.500 0.000 0.000  1.76
Bi 0.188 0.688 0.376  0.01
Bi 0.812 0.312 0.624  0.01

Computed properties:
As for the energy of formation from the pure elements: -0.129 eV/atom. The value obtained for the density of states at the Fermi level is 1.09 states/eV/atom. For the total energy, the calculation gives -54.8 eV/cell. The value obtained for the volume is 28.2 Å³/atom. Its space-group type is Immm.

No. 4
The following is a DFT calculation (PBE-GGA) of La4Er3ScTe8 after structural relaxation.

abc: 8.757 8.975 8.761
angles: 119.24 119.99 90.00
Fractional coordinates of all 16 atoms:
Te 0.747 0.726 0.987
Te 0.239 0.726 0.479
Te 0.761 0.274 0.521
Te 0.257 0.270 0.514
Te 0.761 0.274 0.013
Te 0.253 0.274 0.013
Te 0.239 0.726 0.987
Te 0.743 0.730 0.486
La 0.500 0.000 0.000
La 0.500 0.000 0.500
La 0.000 0.000 0.000
La 0.000 0.000 0.500
Er 0.000 0.500 0.500
Er 0.500 0.500 0.000
Er 0.500 0.500 0.500
Sc 0.000 0.500 0.000

Computed properties:
The value obtained for the density of states at the Fermi level is 0.74 states/eV/atom. For the total energy, the calculation gives -87.1 eV/cell. The value obtained for the volume is 30.8 Å³/atom. Its space-group type is R-3m. The uncorrected formation energy comes out at -1390 meV/atom.